# LaTb2CeDy4 | Alexandria | PBE | optimized geometry
# Formation enthalpy at 0 K in kcal/mol of atoms: 1.00
# Magnetization in μB/atom: 0.116
# Uncorrected energy in eV for the cell shown: -38.18
data_LaTb2CeDy4
_chemical_formula_sum 'La1 Tb2 Ce1 Dy4'
_space_group_name_H-M_alt 'P 1 2/m 1'
_space_group_IT_number 10
_cell_length_a 6.170
_cell_length_b 3.570
_cell_length_c 11.841
_cell_angle_alpha 90.00
_cell_angle_beta 100.07
_cell_angle_gamma 90.00
loop_
_space_group_symop_operation_xyz
'x,y,z'
'-x,-y,-z'
'-x,y,-z'
'x,-y,z'
loop_
_atom_site_label
_atom_site_fract_x
_atom_site_fract_y
_atom_site_fract_z
La1 0.000 0.000 0.000
Tb1 0.500 0.000 0.500
Tb2 0.500 0.500 0.000
Ce1 0.000 0.500 0.500
Dy1 0.247 0.000 0.746
Dy2 0.248 0.500 0.253